Compound: Cr3GaO
Source: Alexandria via LeMat-Bulk
Functional: SCAN
Structure: PBEsol geometry

Output
For the uncorrected formation energy, the calculation gives 1.1513 eV/atom. As for the density: 4.01 g cm⁻³.

```
data_Cr3GaO
_cell_length_a 4.642
_cell_length_b 4.642
_cell_length_c 4.642
_cell_angle_alpha 90.00
_cell_angle_beta 90.00
_cell_angle_gamma 90.00
_space_group_name_H-M_alt 'P 1'
_space_group_IT_number 1
_space_group_name_Hall 'P 1'
loop_
_atom_site_label
_atom_site_fract_x
_atom_site_fract_y
_atom_site_fract_z
_atom_site_occupancy
Cr1 0.000 0.500 0.000 1
Cr2 0.000 0.000 0.500 1
Cr3 0.500 0.000 0.000 1
O1 0.500 0.500 0.500 1
Ga1 0.000 0.000 0.000 1
```